V2ClF3 | PBE+U | relaxed

Total energy, eV per cell: -215.230

a b c (Å): 6.7889 6.7889 15.7136
angles (deg): 90.00 90.00 120.00
Last column: nearest neighbours and their distance in Å.
Space group R-3m (No. 166, hexagonal axes)
One atom of each set of equivalent atoms:
V 0.0000 0.0000 0.0000  6 F 2.17
V 0.0000 0.5000 0.0000  4 F 2.13
Cl 0.0000 0.0000 0.2322  3 V 2.52
F 0.0046 0.5023 0.2778  3 V 2.13-2.17